1.
A geometry-optimized BeAl2BrF structure, computed with PBE.

Cell: 4.7173 3.9349 4.7173 Å, 90.00 90.00 90.00°
Closest atoms and distances in Å follow each position.
Fractional positions:
Be 0.0000 0.0000 0.0000  2 F 1.97
Al 0.0000 0.0000 0.5000  2 Be 2.36
Al 0.5000 0.0000 0.0000  2 Be 2.36
Br 0.5000 0.5000 0.5000  8 Al 3.07, 4 F 3.34
F 0.0000 0.5000 0.0000  2 Be 1.97

Output
The calculation puts the calculated volume at 17.513 A^3/atom. The calculation puts the total energy at -17.07 eV per formula unit. As for the space-group type: P4/mmm (123). The formation energy from raw total energies comes out at -463 meV per atom.

=====

2.
A geometry-optimized ZnHRh2 structure, computed with PBE.

Cell: 5.9457 5.9457 4.9521 Å, 53.11 53.11 90.00°
Closest atoms and distances in Å follow each position.
Fractional positions:
H 0.5000 0.5000 0.0000  4 Rh 1.87
H 0.2500 0.7500 0.5000  4 Rh 1.87
Zn 0.0000 0.0000 0.0000  8 Rh 2.62-2.63, 2 H 2.62
Zn 0.7500 0.2500 0.5000  8 Rh 2.62-2.63, 2 H 2.62
Rh 0.5302 0.1250 0.2500  2 H 1.87
Rh 0.2198 0.6250 0.2500  2 H 1.87
Rh 0.3750 0.4698 0.7500  2 H 1.87
Rh 0.8750 0.7802 0.7500  2 H 1.87

Output
The calculation puts the calculated volume at 11.564 A^3/atom. The calculation puts the total energy at -19.59 eV per formula unit. The value obtained for the energy above the most stable polymorph in this dataset is 81 meV per atom. As for the space-group type: I-42d (122).

=====

3.
A geometry-optimized Te2SeF structure, computed with PBE.

Cell: 7.6996 7.6996 6.2726 Å, 52.14 52.14 90.00°
Closest atoms and distances in Å follow each position.
Fractional positions:
Te 0.6126 0.1250 0.2500  2 F 2.77, 2 Se 2.90
Te 0.1374 0.6250 0.2500  2 F 2.77, 2 Se 2.90
Te 0.3750 0.3874 0.7500  2 F 2.77, 2 Se 2.90
Te 0.8750 0.8626 0.7500  2 F 2.77, 2 Se 2.90
Se 0.0000 0.0000 0.0000  4 Te 2.90, 2 F 3.11
Se 0.7500 0.2500 0.5000  4 Te 2.90, 2 F 3.11
F 0.5000 0.5000 0.0000  4 Te 2.77
F 0.2500 0.7500 0.5000  4 Te 2.77

Output
The calculation puts the calculated volume at 23.084 A^3/atom. The calculation puts the total energy at -12.55 eV per formula unit. The value obtained for the energy above the most stable polymorph in this dataset is 99 meV per atom. As for the space-group type: I-42d (122). The formation energy from raw total energies comes out at -229 meV per atom.

=====

4.
A geometry-optimized Tb7SmTm3 structure, computed with PBE.

Cell: 5.5323 9.8447 8.8799 Å, 105.40 128.52 90.01°
Closest atoms and distances in Å follow each position.
Fractional positions:
Tb 0.9227 0.8317 0.9226  3 Tb 3.12-3.27, 1 Tm 3.49
Tb 0.8531 0.7093 0.3530  3 Tb 3.26-3.56, 2 Tm 3.31-3.32
Tb 0.6746 0.3571 0.1747  5 Tb 3.26-3.56, 3 Tm 3.50-3.62, 2 Sm 3.55
Tb 0.3254 0.6429 0.8253  5 Tb 3.26-3.56, 3 Tm 3.50-3.62, 2 Sm 3.55
Tb 0.5000 0.0000 0.5000  4 Tm 3.38
Tb 0.1469 0.2907 0.6470  3 Tb 3.26-3.56, 2 Tm 3.31-3.32
Tb 0.0773 0.1683 0.0774  3 Tb 3.12-3.27, 1 Tm 3.49
Sm 0.5000 0.5000 0.5000  2 Tm 3.47, 10 Tb 3.55-3.79
Tm 0.2771 0.9974 0.7771  1 Tm 3.08, 4 Tb 3.31-3.38
Tm 0.0000 0.5000 0.0000  2 Sm 3.47, 10 Tb 3.49-3.81
Tm 0.7229 0.0026 0.2229  1 Tm 3.08, 4 Tb 3.31-3.38

Output
The calculation puts the calculated volume at 32.357 A^3/atom. The calculation puts the energy relative to the elements at 3.183 kcal/mol of atoms. The calculation puts the total energy at -49.03 eV per formula unit. The value obtained for the energy above the most stable polymorph in this dataset is 0 meV per atom. As for the space-group type: P2/m (10).

=====

5.
A geometry-optimized Ho4TiGa12 structure, computed with PBE.

Cell: 7.5087 7.5087 7.5087 Å, 109.47 109.47 109.47°
Closest atoms and distances in Å follow each position.
Fractional positions:
Ho 0.0000 0.0000 0.5000  12 Ga 3.07-3.09
Ho 0.5000 0.0000 0.0000  12 Ga 3.07-3.09
Ho 0.5000 0.5000 0.5000  12 Ga 3.07-3.09
Ho 0.0000 0.5000 0.0000  12 Ga 3.07-3.09
Ti 0.0000 0.0000 0.0000  6 Ga 2.57
Ga 0.0000 0.2958 0.2958  1 Ti 2.57, 4 Ga 2.80
Ga 0.0000 0.7042 0.7042  1 Ti 2.57, 4 Ga 2.80
Ga 0.7042 0.7042 0.0000  1 Ti 2.57, 4 Ga 2.80
Ga 0.2958 0.2958 0.0000  1 Ti 2.57, 4 Ga 2.80
Ga 0.2958 0.0000 0.2958  1 Ti 2.57, 4 Ga 2.80
Ga 0.7042 0.0000 0.7042  1 Ti 2.57, 4 Ga 2.80
Ga 0.5000 0.2500 0.7500  8 Ga 2.80-3.07, 4 Ho 3.07
Ga 0.5000 0.7500 0.2500  8 Ga 2.80-3.07, 4 Ho 3.07
Ga 0.7500 0.2500 0.5000  8 Ga 2.80-3.07, 4 Ho 3.07
Ga 0.2500 0.7500 0.5000  8 Ga 2.80-3.07, 4 Ho 3.07
Ga 0.7500 0.5000 0.2500  8 Ga 2.80-3.07, 4 Ho 3.07
Ga 0.2500 0.5000 0.7500  8 Ga 2.80-3.07, 4 Ho 3.07

Output
The calculation puts the calculated volume at 19.170 A^3/atom. The calculation puts the energy relative to the elements at -12.090 kcal/mol of atoms. The calculation puts the total energy at -71.44 eV per formula unit. As for the space-group type: Im-3m (229).

=====

6.
A geometry-optimized Ac6HgPd4 structure, computed with PBE.

Cell: 4.3762 7.7239 22.7924 Å, 90.00 90.00 106.46°
Closest atoms and distances in Å follow each position.
Fractional positions:
Ac 0.5000 0.0000 0.0000  6 Pd 3.13-3.16
Ac 0.5000 0.0000 0.5000  6 Pd 3.13-3.16
Ac 0.0416 0.0833 0.3406  3 Pd 3.04-3.07
Ac 0.9584 0.9167 0.6594  3 Pd 3.04-3.07
Ac 0.9584 0.9167 0.8406  3 Pd 3.04-3.07
Ac 0.0416 0.0833 0.1594  3 Pd 3.04-3.07
Ac 0.7715 0.5429 0.4175  5 Pd 3.11-3.13
Ac 0.2285 0.4571 0.5825  5 Pd 3.11-3.13
Ac 0.2285 0.4571 0.9175  5 Pd 3.11-3.13
Ac 0.7715 0.5429 0.0825  5 Pd 3.11-3.13
Ac 0.3316 0.6632 0.2500  2 Pd 3.07, 2 Hg 3.38
Ac 0.6684 0.3368 0.7500  2 Pd 3.07, 2 Hg 3.38
Hg 0.6582 0.3163 0.2500  6 Ac 3.38-3.47
Hg 0.3418 0.6837 0.7500  6 Ac 3.38-3.47
Pd 0.8630 0.7260 0.5412  6 Ac 3.04-3.13
Pd 0.4067 0.8133 0.1246  6 Ac 3.07-3.16
Pd 0.1370 0.2740 0.4588  6 Ac 3.04-3.13
Pd 0.5933 0.1867 0.8754  6 Ac 3.07-3.16
Pd 0.8630 0.7260 0.9588  6 Ac 3.04-3.13
Pd 0.1370 0.2740 0.0412  6 Ac 3.04-3.13
Pd 0.5933 0.1867 0.6246  6 Ac 3.07-3.16
Pd 0.4067 0.8133 0.3754  6 Ac 3.07-3.16

Output
The calculation puts the calculated volume at 33.584 A^3/atom. The calculation puts the energy relative to the elements at -15.128 kcal/mol of atoms. The calculation puts the total energy at -52.94 eV per formula unit. As for the space-group type: Cmcm (63).